Record 1
Computed, not measured: a geometry-optimized Rb2Na2US4 structure at the PBE level of DFT.

For the size of the total moment, the calculation gives 2.00 μB per formula unit. The value obtained for the density is 3.81 Mg/m³. For the calculated total energy, the calculation gives -86.53 eV per cell.

The space group is C2/m (No. 12) and the conventional cell measures 15.9880, 4.2884 and 8.0659 Å, with angles of 90.00, 113.18 and 90.00 degrees. The inequivalent atoms are Rb at (0.1404, 0.0000, 0.0467), Na at (0.1779, 0.5000, 0.4691), U at (0.0000, 0.0000, 0.5000), S at (0.0000, 0.5000, 0.2781) and S at (0.1862, 0.0000, 0.6718).



Record 2
Computed, not measured: a geometry-optimized Nd5Sm2Tm3 structure at the PBE level of DFT.

For the size of the total moment, the calculation gives 0.00 μB per formula unit. The value obtained for the density is 7.14 Mg/m³. The value obtained for the offset from the most stable computed form is 188 meV per atom.

The space group is Ibam (No. 72) and the conventional cell measures 9.4391, 22.0012 and 6.8496 Å, with angles of 90.00, 90.00 and 90.00 degrees. The inequivalent atoms are Nd at (0.0000, 0.0000, 0.2500), Nd at (0.0000, 0.2530, 0.2500), Nd at (0.0966, 0.1267, 0.0000), Sm at (0.0968, 0.3787, 0.5000), Tm at (0.0000, 0.5000, 0.2500) and Tm at (0.2462, 0.3814, 0.0000).



Record 3
Computed, not measured: a geometry-optimized ZrMoP2 structure at the PBE level of DFT.

For the size of the total moment, the calculation gives 0.00 μB per formula unit. The value obtained for the density is 6.16 Mg/m³. The value obtained for the offset from the most stable computed form is 147 meV per atom.

The space group is R3m (No. 160, hexagonal axes) and the conventional cell measures 3.5777, 3.5777 and 18.1720 Å, with angles of 90.00, 90.00 and 120.00 degrees. The inequivalent atoms are Zr at (0.0000, 0.0000, 0.0000), Mo at (0.0000, 0.0000, 0.8229), P at (0.0000, 0.0000, 0.4208) and P at (0.0000, 0.0000, 0.5735).



Record 4
Computed, not measured: a geometry-optimized AcTlPd structure at the PBE level of DFT.

For the size of the total moment, the calculation gives 0.00 μB per formula unit. The value obtained for the density is 10.66 Mg/m³. The value obtained for the offset from the most stable computed form is 62 meV per atom.

The space group is P-6m2 (No. 187) and the conventional cell measures 4.8943, 4.8943 and 4.0399 Å, with angles of 90.00, 90.00 and 120.00 degrees. The inequivalent atoms are Ac at (0.0000, 0.0000, 0.0000), Tl at (0.6667, 0.3333, 0.5000) and Pd at (0.3333, 0.6667, 0.5000).



Record 5
Computed, not measured: a geometry-optimized MnAg2Au structure at the PBE level of DFT.

For the size of the total moment, the calculation gives 4.09 μB per formula unit. The value obtained for the density is 11.25 Mg/m³. For the calculated total energy, the calculation gives -35.49 eV per cell.

The space group is Cm (No. 8) and the conventional cell measures 9.5281, 2.9254 and 5.0503 Å, with angles of 90.00, 101.19 and 90.00 degrees. The inequivalent atoms are Mn at (0.0000, 0.0000, 0.0000), Ag at (0.2531, 0.0000, 0.7384), Ag at (0.4972, 0.0000, 0.4965) and Au at (0.2411, 0.5000, 0.2249).



Record 6
Computed, not measured: a geometry-optimized La4SiSn2 structure at the PBE level of DFT.

For the size of the total moment, the calculation gives 0.00 μB per formula unit. The value obtained for the density is 5.30 Mg/m³. The value obtained for the offset from the most stable computed form is 234 meV per atom.

The space group is I4/mmm (No. 139) and the conventional cell measures 5.5143, 5.5143 and 16.9284 Å, with angles of 90.00, 90.00 and 90.00 degrees. The inequivalent atoms are La at (0.0000, 0.0000, 0.1762), La at (0.0000, 0.5000, 0.0000), Si at (0.0000, 0.0000, 0.0000) and Sn at (0.0000, 0.0000, 0.3688).



Repeat the first record exactly.
Computed, not measured: a geometry-optimized Rb2Na2US4 structure at the PBE level of DFT.

For the size of the total moment, the calculation gives 2.00 μB per formula unit. The value obtained for the density is 3.81 Mg/m³. For the calculated total energy, the calculation gives -86.53 eV per cell.

The space group is C2/m (No. 12) and the conventional cell measures 15.9880, 4.2884 and 8.0659 Å, with angles of 90.00, 113.18 and 90.00 degrees. The inequivalent atoms are Rb at (0.1404, 0.0000, 0.0467), Na at (0.1779, 0.5000, 0.4691), U at (0.0000, 0.0000, 0.5000), S at (0.0000, 0.5000, 0.2781) and S at (0.1862, 0.0000, 0.6718).



> The highest size of the total moment belongs to which entry?

MnAg2Au